{"formula": "Rb3YZr", "functional": "PBE", "state": "optimized geometry", "relative_energy_mev_per_atom": 269.7, "formation_enthalpy_0k_mev_per_atom": 1774.2, "volume_a3_per_atom": 69.074, "lattice_angstrom": [[7.016, 0.000, 0.000], [0.000, 7.016, 0.000], [0.000, 0.000, 7.016]], "species": ["Y", "Rb", "Rb", "Rb", "Zr"], "fractional_positions": [[0.000, 0.000, 0.000], [0.000, 0.500, 0.000], [0.000, 0.000, 0.500], [0.500, 0.000, 0.000], [0.500, 0.500, 0.500]]}

{"formula": "RbYZr", "functional": "PBE", "state": "optimized geometry", "relative_energy_mev_per_atom": 339.6, "formation_enthalpy_0k_mev_per_atom": 643.1, "volume_a3_per_atom": 38.625, "lattice_angstrom": [[12.472, 0.000, 0.000], [0.000, 3.401, 0.000], [0.000, 0.000, 10.929]], "species": ["Y", "Y", "Y", "Y", "Rb", "Rb", "Rb", "Rb", "Zr", "Zr", "Zr", "Zr"], "fractional_positions": [[0.898, 0.250, 0.785], [0.602, 0.750, 0.285], [0.102, 0.750, 0.215], [0.398, 0.250, 0.715], [0.855, 0.250, 0.429], [0.645, 0.750, 0.929], [0.145, 0.750, 0.571], [0.355, 0.250, 0.071], [0.423, 0.250, 0.424], [0.077, 0.750, 0.924], [0.577, 0.750, 0.576], [0.923, 0.250, 0.076]]}